Record 1
The following is a DFT calculation (GGA-PBE) of crystalline SrCa2 at its relaxed geometry.

Properties
Energy relative to the elements   0.02 eV per atom
Space-group type   No. 12
Energy above the lowest structure with this stoichiometry   0.01 eV per formula unit
VASP energy   -1.88 eV per atom

abc: 7.771 7.771 9.605
angles: 74.52 74.52 29.85
Fractional coordinates of all 6 atoms:
Ca (0.998, 0.998, 0.991)
Ca (0.391, 0.391, 0.719)
Sr (0.719, 0.719, 0.052)
Sr (0.337, 0.337, 0.337)
Ca (0.664, 0.664, 0.670)
Ca (0.058, 0.058, 0.397)

=====

Record 2
The following is a DFT calculation (GGA-PBE) of crystalline TbTeO at its relaxed geometry.

Properties
Formation energy from raw total energies   -209 kJ/mol of atoms
Space-group type   No. 156
VASP energy   -6.41 eV per atom

abc: 3.669 3.669 6.383
angles: 90.00 90.00 120.00
Fractional coordinates of all 3 atoms:
Tb (0.667, 0.333, 0.564)
O (0.333, 0.667, 0.479)
Te (0.000, 0.000, 0.957)